# 1
Entry from the Alexandria database: a relaxed structure of NaNiIrS3 (PBE-GGA).

a = 7.5342 Å, b = 3.6322 Å, c = 8.4338 Å
α = 90.00°, β = 107.82°, γ = 90.00°
Closest atoms and distances in Å follow each position.
Space group P2_1/m (No. 11)
One atom of each set of equivalent atoms:
Na1 0.2179 0.2500 0.2530 x2  7 S 2.96-3.05
Ni1 0.0864 0.2500 0.6123 x2  4 S 2.18-2.23
Ir1 0.3192 0.7500 0.8436 x2  6 S 2.40-2.45
S1 0.1200 0.2500 0.8788 x2  1 Ni 2.18, 2 Ir 2.43
S2 0.2143 0.7500 0.5391 x2  3 Ni 2.23, 1 Ir 2.45
S3 0.4653 0.7500 0.1402 x2  3 Ir 2.40-2.41

Values from the calculation:
The density of states at the Fermi level is 5.812 states/eV/cell. The calculation puts the calculated total energy at -62.98 eV per cell. The formation energy without anion corrections is -3.1 eV per formula unit.

=====

# 2
Entry from the Alexandria database: a relaxed structure of MgP (PBE-GGA).

a = 4.4483 Å, b = 4.4483 Å, c = 5.3693 Å
α = 90.00°, β = 90.00°, γ = 120.00°
Closest atoms and distances in Å follow each position.
Space group P6_3/mmc (No. 194)
One atom of each set of equivalent atoms:
Mg1 0.3333 0.6667 0.2500 x2  5 P 2.57-2.68
P1 0.3333 0.6667 0.7500 x2  5 Mg 2.57-2.68

Values from the calculation:
Its energy relative to the lowest polymorph listed for this composition is 0.388 eV per atom. The density of states at the Fermi level is 4.069 states/eV/cell. The calculation puts the calculated total energy at -14.54 eV per cell. The formation energy comes out at -131.8 meV/atom.

=====

# 3
Entry from the Alexandria database: a relaxed structure of Pm2Sm3Hg4 (PBE-GGA).

a = 7.0355 Å, b = 18.3598 Å, c = 8.2679 Å
α = 90.00°, β = 90.00°, γ = 90.00°
Closest atoms and distances in Å follow each position.
Space group Cmce (No. 64)
One atom of each set of equivalent atoms:
Pm1 0.0000 0.0947 0.0863 x8  5 Hg 3.33-3.71
Sm1 0.0000 0.0000 0.5000 x4  6 Hg 2.98-3.05
Sm2 0.2500 0.2392 0.7500 x8  5 Hg 3.07-3.22
Hg1 0.0000 0.1653 0.4687 x8  5 Sm 3.05-3.22
Hg2 0.2500 0.0674 0.7500 x8  3 Sm 2.98-3.15, 2 Pm 3.33

Values from the calculation:
The density of states at the Fermi level is 37.894 states/eV/cell. The calculation puts the calculated total energy at -111.01 eV per cell. The formation energy comes out at -320.7 meV/atom.

=====

# 4
Entry from the Alexandria database: a relaxed structure of Ba2Mg2Tl2Sn3O10 (PBE-GGA).

a = 3.8642 Å, b = 4.0905 Å, c = 20.3783 Å
α = 85.09°, β = 88.45°, γ = 88.66°
Closest atoms and distances in Å follow each position.
Space group P1 (No. 1)
One atom of each set of equivalent atoms:
Ba1 0.0000 0.0000 0.0000 x1  2 O 2.50-2.65
Ba2 0.1065 0.3416 0.3527 x1  3 O 2.56-2.86
Mg1 0.0482 0.0995 0.7681 x1  5 O 2.08-2.21
Mg2 0.0823 0.3082 0.5664 x1  6 O 2.13-2.28
Tl1 0.2314 0.4424 0.1308 x1  3 O 2.41-2.50
Tl2 0.7584 0.9025 0.2172 x1  2 O 2.43-2.44
Sn1 0.5382 0.5640 0.8481 x1  5 O 1.96-2.16
Sn2 0.5478 0.7936 0.4811 x1  5 O 2.02-2.12
Sn3 0.5653 0.7270 0.6753 x1  1 O 2.01
O1 0.0346 0.8225 0.5201 x1  2 Sn 2.07-2.12, 2 Mg 2.24-2.28
O2 0.0442 0.5781 0.8074 x1  2 Sn 2.10, 2 Mg 2.18-2.21
O3 0.0667 0.0377 0.6676 x1  2 Mg 2.08-2.26, 1 Sn 2.28
O4 0.4379 0.3999 0.2420 x1  3 Tl 2.41-2.44, 1 Ba 2.56
O5 0.4397 0.2984 0.4784 x1  2 Sn 2.08-2.09, 1 Mg 2.24
O6 0.5151 0.9582 0.0840 x1  2 Tl 2.49-2.50, 2 Ba 2.50-2.65
O7 0.5268 0.5251 0.9448 x1  1 Sn 1.96
O8 0.5432 0.0791 0.8138 x1  2 Mg 2.14-2.15, 2 Sn 2.16
O9 0.5634 0.5050 0.5908 x1  1 Sn 2.01, 2 Mg 2.13-2.20
O10 0.6138 0.8318 0.3820 x1  1 Sn 2.02

Values from the calculation:
The density of states at the Fermi level is 2.226 states/eV/cell. The calculation puts the calculated total energy at -105.55 eV per cell. The formation energy without anion corrections is -32.2 eV per formula unit.

=====

# 5
Entry from the Alexandria database: a relaxed structure of ZrAgB (PBE-GGA).

a = 3.7169 Å, b = 3.7169 Å, c = 9.3746 Å
α = 90.00°, β = 90.00°, γ = 120.00°
Closest atoms and distances in Å follow each position.
Space group P6_3/mmc (No. 194)
One atom of each set of equivalent atoms:
Zr1 0.0000 0.0000 0.0000 x2  2 B 2.34
Ag1 0.3333 0.6667 0.2500 x2  3 B 2.15
B1 0.0000 0.0000 0.2500 x2  3 Ag 2.15, 2 Zr 2.34

Values from the calculation:
The density of states at the Fermi level is 5.130 states/eV/cell. The calculation puts the calculated total energy at -32.18 eV per cell. The formation energy comes out at 661.9 meV/atom.

=====

# 6
Entry from the Alexandria database: a relaxed structure of BaZn12Ag7 (PBE-GGA).

a = 13.5693 Å, b = 13.5693 Å, c = 6.8890 Å
α = 90.00°, β = 90.00°, γ = 120.00°
Closest atoms and distances in Å follow each position.
Space group R-3m (No. 166, hexagonal axes)
One atom of each set of equivalent atoms:
Ba1 0.0000 0.0000 0.0000 x3  12 Zn 3.37-3.60, 8 Ag 3.44-3.47
Zn1 0.0000 0.2652 0.0000 x18  4 Ag 2.69-2.83, 4 Zn 2.75-2.80
Zn2 0.1051 0.5526 0.9621 x18  3 Zn 2.53-2.75, 3 Ag 2.71
Ag1 0.0000 0.0000 0.5000 x3  6 Ag 3.02, 6 Zn 3.03
Ag2 0.1016 0.5508 0.3551 x18  7 Zn 2.69-2.83

Values from the calculation:
The density of states at the Fermi level is 21.165 states/eV/cell. The calculation puts the calculated total energy at -110.77 eV per cell. The formation energy comes out at 12.2 meV/atom.